No. 1
# CaScTl2 GGA-PBE relaxed
# total magnetization: 1.01 μB/f.u.
# volume: 29.22 A^3/atom
# uncorrected energy: -3.25 eV/atom
data_CaScTl2
_cell_length_a 3.5597
_cell_length_b 3.5597
_cell_length_c 31.9496
_cell_angle_alpha 90.00
_cell_angle_beta 90.00
_cell_angle_gamma 120.00
_symmetry_space_group_name_H-M 'R 3 m'
_symmetry_Int_Tables_number 160
_symmetry_space_group_name_Hall 'R 3 -2"'
loop_
_atom_site_label
_atom_site_fract_x
_atom_site_fract_y
_atom_site_fract_z
Ca1 0.0000 0.0000 0.0000
Sc1 0.0000 0.0000 0.2452
Tl1 0.0000 0.0000 0.5014
Tl2 0.0000 0.0000 0.7534

---

No. 2
# CaSc2Tl GGA-PBE relaxed
# total magnetization: 0.71 μB/f.u.
# volume: 25.68 A^3/atom
# uncorrected energy: -4.36 eV/atom
data_CaSc2Tl
_cell_length_a 4.6868
_cell_length_b 4.6868
_cell_length_c 4.6766
_cell_angle_alpha 90.00
_cell_angle_beta 90.00
_cell_angle_gamma 90.00
_symmetry_space_group_name_H-M 'P 4/m m m'
_symmetry_Int_Tables_number 123
_symmetry_space_group_name_Hall '-P 4 2'
loop_
_atom_site_label
_atom_site_fract_x
_atom_site_fract_y
_atom_site_fract_z
Ca1 0.0000 0.0000 0.0000
Sc1 0.0000 0.5000 0.5000
Tl1 0.5000 0.5000 0.0000

---

No. 3
# CaSc2Tl GGA-PBE relaxed
# total magnetization: 0.79 μB/f.u.
# volume: 27.68 A^3/atom
# uncorrected energy: -4.27 eV/atom
data_CaSc2Tl
_cell_length_a 3.4417
_cell_length_b 3.4417
_cell_length_c 9.3474
_cell_angle_alpha 90.00
_cell_angle_beta 90.00
_cell_angle_gamma 90.00
_symmetry_space_group_name_H-M 'P 4/m m m'
_symmetry_Int_Tables_number 123
_symmetry_space_group_name_Hall '-P 4 2'
loop_
_atom_site_label
_atom_site_fract_x
_atom_site_fract_y
_atom_site_fract_z
Ca1 0.0000 0.0000 0.0000
Sc1 0.5000 0.5000 0.2908
Tl1 0.0000 0.0000 0.5000

---

No. 4
# CaScTl2 GGA-PBE relaxed
# total magnetization: 0.00 μB/f.u.
# volume: 32.82 A^3/atom
# uncorrected energy: -3.03 eV/atom
data_CaScTl2
_cell_length_a 3.4657
_cell_length_b 6.0538
_cell_length_c 12.5156
_cell_angle_alpha 90.00
_cell_angle_beta 90.00
_cell_angle_gamma 90.00
_symmetry_space_group_name_H-M 'I m m m'
_symmetry_Int_Tables_number 71
_symmetry_space_group_name_Hall '-I 2 2'
loop_
_atom_site_label
_atom_site_fract_x
_atom_site_fract_y
_atom_site_fract_z
Ca1 0.0000 0.0000 0.0000
Sc1 0.0000 0.0000 0.5000
Tl1 0.0000 0.0000 0.2613

---

Which of these has the lowest total magnetization?
number 4

---

What is the total magnetization in the fourth record?
0.00 μB/f.u.

---

Please write out number 2 again, unchanged.
# CaSc2Tl GGA-PBE relaxed
# total magnetization: 0.71 μB/f.u.
# volume: 25.68 A^3/atom
# uncorrected energy: -4.36 eV/atom
data_CaSc2Tl
_cell_length_a 4.6868
_cell_length_b 4.6868
_cell_length_c 4.6766
_cell_angle_alpha 90.00
_cell_angle_beta 90.00
_cell_angle_gamma 90.00
_symmetry_space_group_name_H-M 'P 4/m m m'
_symmetry_Int_Tables_number 123
_symmetry_space_group_name_Hall '-P 4 2'
loop_
_atom_site_label
_atom_site_fract_x
_atom_site_fract_y
_atom_site_fract_z
Ca1 0.0000 0.0000 0.0000
Sc1 0.0000 0.5000 0.5000
Tl1 0.5000 0.5000 0.0000